[1]
{"formula": "Sr2Hg17", "functional": "GGA-PBE", "state": "optimized geometry", "total_energy_ev_per_fu": -11.6, "ef_ev_per_atom": -0.163, "magmom_total_mub_per_atom": 0.00, "crystal_system": "trigonal", "lattice": [[8.491, 0.834, 0.736], [2.029, 8.287, 0.736], [2.029, 1.759, 8.131]], "species": ["Hg", "Hg", "Hg", "Hg", "Hg", "Hg", "Hg", "Hg", "Hg", "Hg", "Hg", "Hg", "Sr", "Hg", "Hg", "Hg", "Hg", "Sr", "Hg"], "fractional_positions": [[0.000, 0.000, 0.500], [0.298, 0.000, 0.702], [0.000, 0.500, 0.000], [0.298, 0.702, 0.000], [0.585, 0.182, 0.585], [0.000, 0.702, 0.298], [0.415, 0.415, 0.818], [0.415, 0.818, 0.415], [0.585, 0.585, 0.182], [0.182, 0.585, 0.585], [0.903, 0.903, 0.903], [0.500, 0.000, 0.000], [0.714, 0.714, 0.714], [0.702, 0.298, 0.000], [0.097, 0.097, 0.097], [0.702, 0.000, 0.298], [0.818, 0.415, 0.415], [0.286, 0.286, 0.286], [0.000, 0.298, 0.702]]}


[2]
{"formula": "LaTcO2", "functional": "GGA-PBE", "state": "optimized geometry", "total_energy_ev_per_fu": -32.3, "polymorph_energy_ev_per_atom": 0.0000, "e_form_raw_ev_per_atom": -1.78, "magmom_total_mub_per_atom": 0.81, "crystal_system": "trigonal", "lattice": [[2.166, 0.000, 6.086], [-1.083, 1.876, 6.086], [-1.083, -1.876, 6.086]], "species": ["La", "Tc", "O", "O"], "fractional_positions": [[0.500, 0.500, 0.500], [0.000, 0.000, 0.000], [0.891, 0.891, 0.891], [0.109, 0.109, 0.109]]}


[3]
{"formula": "Ga2HF8", "functional": "GGA-PBE", "state": "optimized geometry", "total_energy_ev_per_fu": -43.7, "magmom_total_mub_per_atom": 0.00, "crystal_system": "monoclinic", "lattice": [[3.861, -0.251, -0.190], [-0.364, 5.890, 0.224], [-0.364, 1.802, 5.612]], "species": ["F", "F", "F", "F", "F", "Ga", "F", "H", "F", "Ga", "F"], "fractional_positions": [[0.234, 0.475, 0.475], [0.010, 0.951, 0.303], [0.562, 0.271, 0.271], [0.438, 0.729, 0.729], [0.990, 0.049, 0.697], [0.058, 0.279, 0.279], [0.010, 0.303, 0.951], [0.000, 0.000, 0.000], [0.766, 0.525, 0.525], [0.942, 0.721, 0.721], [0.990, 0.697, 0.049]]}


[4]
{"formula": "Mg2AsCl", "functional": "GGA-PBE", "state": "optimized geometry", "total_energy_ev_per_fu": -12.0, "polymorph_energy_ev_per_atom": 0.3576, "e_form_raw_ev_per_atom": -0.59, "magmom_total_mub_per_atom": 0.00, "crystal_system": "orthorhombic", "lattice": [[-3.309, 1.359, 0.920], [-0.083, -3.602, -0.812], [1.287, -1.611, 7.013]], "species": ["Cl", "As", "Mg", "Mg"], "fractional_positions": [[0.500, 0.500, 0.750], [0.500, 0.500, 0.250], [0.000, 0.000, 0.033], [0.000, 0.000, 0.467]]}